Rb2NaMnO4 | PBE+U | optimized geometry

a b c (Å): 6.0820 6.0684 7.9666
angles (deg): 87.19 90.00 90.00
Last column: nearest neighbours and their distance in Å.
Element x y z (fractional)
Rb 0.7500 0.6949 0.5162  7 O 2.88-3.10
Rb 0.7500 0.1178 0.8274  6 O 2.87-3.19
O 0.2500 0.0730 0.8079  1 Mn 1.73
O 0.5226 0.3307 0.1708  1 Mn 1.73
O 0.4774 0.6693 0.8292  1 Mn 1.73
O 0.9774 0.3307 0.1708  1 Mn 1.73
Rb 0.2500 0.8822 0.1726  6 O 2.87-3.19
O 0.2500 0.7956 0.5301  1 Mn 1.71
O 0.7500 0.2044 0.4699  1 Mn 1.71
O 0.7500 0.9270 0.1921  1 Mn 1.73
Mn 0.7500 0.1950 0.2555  4 O 1.71-1.73
Mn 0.2500 0.8050 0.7445  4 O 1.71-1.73
O 0.0226 0.6693 0.8292  1 Mn 1.73
Rb 0.2500 0.3051 0.4838  7 O 2.88-3.10
Na 0.2500 0.3836 0.9659  5 O 2.32-2.43
Na 0.7500 0.6164 0.0341  5 O 2.32-2.43

Values from the calculation:
The total magnetization comes out at 2.0 μB per formula unit. The density of states at the Fermi level comes out at 0.00 states/eV/f.u. The value obtained for the energy above the most stable polymorph in this dataset is 0 meV per atom.